(1)
Sr2MnSi | Alexandria via LeMat-Bulk | PBE-GGA | relaxed; density of states at the Fermi level = 0.846 states/eV/atom; total magnetization = 3.29 μB per cell; raw formation energy = 49 meV per atom; SG = Imm2 (44)
1.0
-1.959 2.577 5.638
1.959 -2.577 5.638
1.959 2.577 -5.638
Sr Mn Si
2 1 1
direct
0.000 0.000 0.000 Sr
0.710 0.210 0.500 Sr
0.307 0.807 0.500 Mn
0.434 0.434 0.000 Si


(2)
SrMn3Si | Alexandria via LeMat-Bulk | PBE-GGA | relaxed; density of states at the Fermi level = 1.089 states/eV/atom; total magnetization = 11.26 μB per cell; raw formation energy = 2205 meV per atom; SG = Pm-3m (221)
1.0
4.994 0.000 0.000
0.000 4.994 0.000
0.000 0.000 4.994
Sr Mn Si
1 3 1
direct
0.000 0.000 0.000 Sr
0.000 0.000 0.500 Mn
0.000 0.500 0.000 Mn
0.500 0.000 0.000 Mn
0.500 0.500 0.500 Si


(3)
Sr2MnSi | Alexandria via LeMat-Bulk | PBE-GGA | relaxed; density of states at the Fermi level = 0.741 states/eV/atom; total magnetization = 3.18 μB per cell; raw formation energy = -39 meV per atom; SG = Amm2 (38)
1.0
4.379 0.000 0.000
0.000 2.407 5.756
0.000 -2.407 5.756
Sr Mn Si
2 1 1
direct
0.000 0.000 0.000 Sr
0.500 0.286 0.286 Sr
0.000 0.685 0.685 Mn
0.500 0.593 0.593 Si


(4)
Sr2MnSi | Alexandria via LeMat-Bulk | PBE-GGA | relaxed; density of states at the Fermi level = 0.754 states/eV/atom; total magnetization = 3.30 μB per cell; raw formation energy = -112 meV per atom; SG = Cm (8)
1.0
3.718 -2.148 0.000
3.718 2.148 0.000
-2.493 0.000 8.254
Sr Mn Si
2 1 1
direct
0.000 0.000 0.000 Sr
0.177 0.177 0.528 Sr
0.755 0.755 0.264 Mn
0.422 0.422 0.264 Si


(5)
SrMn3Si | Alexandria via LeMat-Bulk | PBE-GGA | relaxed; density of states at the Fermi level = 1.577 states/eV/atom; total magnetization = 10.49 μB per cell; raw formation energy = 439 meV per atom; SG = Pm-3m (221)
1.0
4.721 0.000 0.000
0.000 4.721 0.000
0.000 0.000 4.721
Sr Mn Si
1 3 1
direct
0.000 0.000 0.000 Sr
0.000 0.500 0.500 Mn
0.500 0.000 0.500 Mn
0.500 0.500 0.000 Mn
0.500 0.500 0.500 Si


(6)
Sr2MnSi | Alexandria via LeMat-Bulk | PBE-GGA | relaxed; density of states at the Fermi level = 0.776 states/eV/atom; total magnetization = 3.98 μB per cell; raw formation energy = 343 meV per atom; SG = I-4m2 (119)
1.0
-2.357 2.357 4.936
2.357 -2.357 4.936
2.357 2.357 -4.936
Sr Mn Si
2 1 1
direct
0.000 0.000 0.000 Sr
0.750 0.250 0.500 Sr
0.250 0.750 0.500 Mn
0.500 0.500 0.000 Si